Density functional theory data (PBE+U) for MnPO4 after structural relaxation.

Computed properties:
Final energy, eV for the cell shown: -264.70

POSCAR file:
```
MnPO4
1.0
8.949 -0.019 -0.031
-2.815 8.495 -0.031
-2.815 -3.890 7.552
P O Mn
6 24 6
direct
0.716 0.100 0.930 P
0.214 0.442 0.600 P
0.930 0.716 0.100 P
0.442 0.600 0.214 P
0.100 0.930 0.716 P
0.600 0.214 0.442 P
0.981 0.698 0.948 O
0.648 0.292 0.320 O
0.658 0.034 0.729 O
0.913 0.241 0.037 O
0.402 0.160 0.387 O
0.698 0.948 0.981 O
0.181 0.968 0.595 O
0.241 0.037 0.913 O
0.320 0.648 0.292 O
0.034 0.729 0.658 O
0.948 0.981 0.698 O
0.048 0.406 0.631 O
0.387 0.402 0.160 O
0.631 0.048 0.406 O
0.719 0.358 0.639 O
0.595 0.181 0.968 O
0.160 0.387 0.402 O
0.968 0.595 0.181 O
0.292 0.320 0.648 O
0.037 0.913 0.241 O
0.639 0.719 0.358 O
0.406 0.631 0.048 O
0.358 0.639 0.719 O
0.729 0.658 0.034 O
0.550 0.722 0.948 Mn
0.948 0.550 0.722 Mn
0.227 0.093 0.467 Mn
0.722 0.948 0.550 Mn
0.467 0.227 0.093 Mn
0.093 0.467 0.227 Mn
```